Entry 1:
A plane-wave DFT calculation with PBE-GGA was carried out for a geometry-optimized LaSm2ErSe4 structure.

Output
formation energy from raw total energies	-1823	meV per atom
calculated volume	25.77	Å³/atom

a = 7.200 Å, b = 4.122 Å, c = 7.336 Å
α = 90.00°, β = 108.81°, γ = 90.00°
Atoms (fractional coordinates):
La: 0.000 0.000 0.000
Sm: 0.500 0.000 0.500
Sm: 0.500 0.500 0.000
Er: 0.000 0.500 0.500
Se: 0.244 0.000 0.738
Se: 0.252 0.500 0.261
Se: 0.748 0.500 0.739
Se: 0.756 0.000 0.262

---

Entry 2:
A plane-wave DFT calculation with PBE-GGA was carried out for a geometry-optimized ErTlTe2 structure.

Output
formation energy from raw total energies	-1037	meV per atom
calculated volume	34.69	Å³/atom

a = 8.581 Å, b = 8.581 Å, c = 8.581 Å
α = 29.87°, β = 29.87°, γ = 29.87°
Atoms (fractional coordinates):
Er: 0.000 0.000 0.000
Tl: 0.500 0.500 0.500
Te: 0.263 0.263 0.263
Te: 0.737 0.737 0.737

---

Entry 3:
A plane-wave DFT calculation with PBE-GGA was carried out for a geometry-optimized BeCdIr3 structure.

Output
calculated volume	14.92	Å³/atom
energy above the lowest structure with this stoichiometry	0.000	eV/atom
E_form	318	meV/atom

a = 4.210 Å, b = 4.210 Å, c = 4.210 Å
α = 90.00°, β = 90.00°, γ = 90.00°
Atoms (fractional coordinates):
Be: 0.000 0.000 0.000
Cd: 0.500 0.500 0.500
Ir: 0.000 0.000 0.500
Ir: 0.000 0.500 0.000
Ir: 0.500 0.000 0.000

---

Entry 4:
A plane-wave DFT calculation with PBE-GGA was carried out for a geometry-optimized Dy2ZrAl structure.

Output
calculated volume	26.29	Å³/atom
energy above the lowest structure with this stoichiometry	0.373	eV/atom
E_form	213	meV/atom

a = 11.426 Å, b = 11.426 Å, c = 11.426 Å
α = 16.52°, β = 16.52°, γ = 16.52°
Atoms (fractional coordinates):
Dy: 0.096 0.096 0.096
Dy: 0.904 0.904 0.904
Zr: 0.000 0.000 0.000
Al: 0.500 0.500 0.500

---

Entry 5:
A plane-wave DFT calculation with PBE-GGA was carried out for a geometry-optimized Tb3YTl3Se8 structure.

Output
formation energy from raw total energies	-1396	meV per atom
calculated volume	30.81	Å³/atom

a = 9.034 Å, b = 9.034 Å, c = 9.034 Å
α = 55.12°, β = 55.12°, γ = 55.12°
Atoms (fractional coordinates):
Tb: 0.000 0.500 0.500
Tb: 0.500 0.000 0.500
Tb: 0.500 0.500 0.000
Y: 0.000 0.000 0.000
Tl: 0.000 0.000 0.500
Tl: 0.000 0.500 0.000
Tl: 0.500 0.000 0.000
Se: 0.236 0.236 0.736
Se: 0.236 0.736 0.236
Se: 0.264 0.264 0.264
Se: 0.264 0.764 0.764
Se: 0.736 0.236 0.236
Se: 0.736 0.736 0.736
Se: 0.764 0.264 0.764
Se: 0.764 0.764 0.264

---

Entry 6:
A plane-wave DFT calculation with PBE-GGA was carried out for a geometry-optimized Ac4OsRhI2 structure.

Output
formation energy from raw total energies	-820	meV per atom
calculated volume	35.83	Å³/atom

a = 7.570 Å, b = 4.385 Å, c = 8.999 Å
α = 90.00°, β = 106.36°, γ = 90.00°
Atoms (fractional coordinates):
Ac: 0.223 0.000 0.184
Ac: 0.267 0.500 0.816
Ac: 0.733 0.500 0.184
Ac: 0.777 0.000 0.816
Os: 0.000 0.500 0.000
Rh: 0.500 0.000 0.000
I: 0.000 0.000 0.500
I: 0.500 0.500 0.500

---

Entry 7:
A plane-wave DFT calculation with PBE-GGA was carried out for a geometry-optimized GdMg2H6 structure.

Output
E	-3.841	eV per atom
calculated volume	12.10	Å³/atom

a = 5.360 Å, b = 5.360 Å, c = 5.360 Å
α = 60.00°, β = 60.00°, γ = 60.00°
Atoms (fractional coordinates):
Gd: 0.000 0.000 0.000
Mg: 0.250 0.250 0.250
Mg: 0.750 0.750 0.750
H: 0.276 0.276 0.724
H: 0.276 0.724 0.276
H: 0.276 0.724 0.724
H: 0.724 0.276 0.276
H: 0.724 0.276 0.724
H: 0.724 0.724 0.276

---

Entry 8:
A plane-wave DFT calculation with PBE-GGA was carried out for a geometry-optimized Tc3PdPt structure.

Output
calculated volume	20.80	Å³/atom
energy above the lowest structure with this stoichiometry	0.000	eV/atom
E_form	1981	meV/atom

a = 4.702 Å, b = 4.702 Å, c = 4.702 Å
α = 90.00°, β = 90.00°, γ = 90.00°
Atoms (fractional coordinates):
Tc: 0.000 0.000 0.500
Tc: 0.000 0.500 0.000
Tc: 0.500 0.000 0.000
Pd: 0.500 0.500 0.500
Pt: 0.000 0.000 0.000

---

Entry 9:
A plane-wave DFT calculation with PBE-GGA was carried out for a geometry-optimized ZrBeIr structure.

Output
calculated volume	15.51	Å³/atom
energy above the lowest structure with this stoichiometry	0.155	eV/atom
E_form	-578	meV/atom

a = 4.114 Å, b = 4.114 Å, c = 3.174 Å
α = 90.00°, β = 90.00°, γ = 120.00°
Atoms (fractional coordinates):
Zr: 0.000 0.000 0.000
Be: 0.333 0.667 0.500
Ir: 0.667 0.333 0.500

---

Entry 10:
A plane-wave DFT calculation with PBE-GGA was carried out for a geometry-optimized NaPd6Au5 structure.

Output
calculated volume	16.69	Å³/atom
E_form	-94	meV/atom

a = 4.942 Å, b = 5.758 Å, c = 7.039 Å
α = 90.00°, β = 90.69°, γ = 90.00°
Atoms (fractional coordinates):
Na: 0.000 0.000 0.000
Pd: 0.169 0.250 0.336
Pd: 0.169 0.750 0.336
Pd: 0.500 0.251 0.000
Pd: 0.500 0.749 0.000
Pd: 0.831 0.250 0.664
Pd: 0.831 0.750 0.664
Au: 0.000 0.500 0.000
Au: 0.331 0.500 0.670
Au: 0.334 0.000 0.670
Au: 0.666 0.000 0.330
Au: 0.669 0.500 0.330

---

Entry 11:
A plane-wave DFT calculation with PBE-GGA was carried out for a geometry-optimized TlZn2Os structure.

Output
calculated volume	16.58	Å³/atom
energy above the lowest structure with this stoichiometry	0.119	eV/atom
E_form	490	meV/atom

a = 5.116 Å, b = 5.116 Å, c = 5.116 Å
α = 134.84°, β = 134.84°, γ = 65.78°
Atoms (fractional coordinates):
Tl: 0.000 0.000 0.000
Zn: 0.250 0.750 0.500
Zn: 0.750 0.250 0.500
Os: 0.500 0.500 0.000

---

Entry 12:
A plane-wave DFT calculation with PBE-GGA was carried out for a geometry-optimized BeIn2Mo structure.

Output
calculated volume	17.18	Å³/atom
E_form	356	meV/atom

a = 5.227 Å, b = 5.227 Å, c = 5.227 Å
α = 135.70°, β = 135.70°, γ = 64.45°
Atoms (fractional coordinates):
Be: 0.000 0.000 0.000
In: 0.250 0.750 0.500
In: 0.750 0.250 0.500
Mo: 0.500 0.500 0.000

---

Entry 13:
A plane-wave DFT calculation with PBE-GGA was carried out for a geometry-optimized Cs2Tl3InBr6 structure.

Output
formation energy from raw total energies	-1125	meV per atom
calculated volume	42.03	Å³/atom

a = 10.977 Å, b = 10.977 Å, c = 9.840 Å
α = 102.51°, β = 102.51°, γ = 25.86°
Atoms (fractional coordinates):
Cs: 0.166 0.166 0.325
Cs: 0.834 0.834 0.675
Tl: 0.165 0.165 0.832
Tl: 0.500 0.500 0.500
Tl: 0.835 0.835 0.168
In: 0.500 0.500 0.000
Br: 0.006 0.006 0.756
Br: 0.339 0.339 0.940
Br: 0.340 0.340 0.410
Br: 0.660 0.660 0.590
Br: 0.661 0.661 0.060
Br: 0.994 0.994 0.244

---

Entry 14:
A plane-wave DFT calculation with PBE-GGA was carried out for a geometry-optimized AcLaPd2 structure.

Output
calculated volume	26.22	Å³/atom
energy above the lowest structure with this stoichiometry	0.091	eV/atom
E_form	-726	meV/atom

a = 5.293 Å, b = 5.293 Å, c = 5.293 Å
α = 60.00°, β = 60.00°, γ = 60.00°
Atoms (fractional coordinates):
Ac: 0.000 0.000 0.000
La: 0.500 0.500 0.500
Pd: 0.250 0.250 0.250
Pd: 0.750 0.750 0.750

---

Entry 15:
A plane-wave DFT calculation with PBE-GGA was carried out for a geometry-optimized LiUZn2 structure.

Output
calculated volume	19.00	Å³/atom
energy above the lowest structure with this stoichiometry	0.125	eV/atom
E_form	92	meV/atom

a = 5.280 Å, b = 5.280 Å, c = 2.727 Å
α = 90.00°, β = 90.00°, γ = 90.00°
Atoms (fractional coordinates):
Li: 0.000 0.000 0.000
U: 0.500 0.500 0.000
Zn: 0.000 0.500 0.500
Zn: 0.500 0.000 0.500

---

Entry 16:
A plane-wave DFT calculation with PBE-GGA was carried out for a geometry-optimized ErCo3P3 structure.

Output
calculated volume	15.70	Å³/atom
energy above the lowest structure with this stoichiometry	0.000	eV/atom
E_form	-757	meV/atom

a = 7.290 Å, b = 7.290 Å, c = 7.290 Å
α = 51.59°, β = 51.59°, γ = 51.59°
Atoms (fractional coordinates):
Er: 0.167 0.167 0.167
Er: 0.833 0.833 0.833
Co: 0.030 0.719 0.382
Co: 0.281 0.618 0.970
Co: 0.382 0.030 0.719
Co: 0.618 0.970 0.281
Co: 0.719 0.382 0.030
Co: 0.970 0.281 0.618
P: 0.094 0.403 0.723
P: 0.277 0.906 0.597
P: 0.403 0.723 0.094
P: 0.597 0.277 0.906
P: 0.723 0.094 0.403
P: 0.906 0.597 0.277

---

Entry 17:
A plane-wave DFT calculation with PBE-GGA was carried out for a geometry-optimized YTm2Bi structure.

Output
calculated volume	28.53	Å³/atom
energy above the lowest structure with this stoichiometry	0.081	eV/atom
E_form	-298	meV/atom

a = 4.814 Å, b = 4.814 Å, c = 4.925 Å
α = 90.00°, β = 90.00°, γ = 90.00°
Atoms (fractional coordinates):
Y: 0.000 0.000 0.000
Tm: 0.000 0.500 0.500
Tm: 0.500 0.000 0.500
Bi: 0.500 0.500 0.000

---

Entry 18:
A plane-wave DFT calculation with PBE-GGA was carried out for a geometry-optimized Pu2AlZn3Au4 structure.

Output
calculated volume	20.39	Å³/atom
E_form	-341	meV/atom

a = 4.270 Å, b = 4.270 Å, c = 11.184 Å
α = 90.00°, β = 90.00°, γ = 90.00°
Atoms (fractional coordinates):
Pu: 0.000 0.500 0.248
Pu: 0.500 0.000 0.752
Al: 0.000 0.000 0.500
Zn: 0.000 0.500 0.863
Zn: 0.500 0.000 0.137
Zn: 0.500 0.500 0.500
Au: 0.000 0.000 0.000
Au: 0.000 0.500 0.636
Au: 0.500 0.000 0.364
Au: 0.500 0.500 0.000

---

Entry 19:
A plane-wave DFT calculation with PBE-GGA was carried out for a geometry-optimized Fe2SiAs structure.

Output
formation energy from raw total energies	-81	meV per atom
calculated volume	12.66	Å³/atom

a = 5.626 Å, b = 5.626 Å, c = 5.626 Å
α = 149.59°, β = 145.67°, γ = 46.51°
Atoms (fractional coordinates):
Fe: 0.000 0.000 0.000
Fe: 0.749 0.249 0.500
Si: 0.171 0.671 0.500
As: 0.415 0.415 0.000

---

Entry 20:
A plane-wave DFT calculation with PBE-GGA was carried out for a geometry-optimized Tb2Er8Al structure.

Output
calculated volume	29.70	Å³/atom
E_form	-41	meV/atom

a = 9.886 Å, b = 9.886 Å, c = 6.354 Å
α = 94.05°, β = 94.05°, γ = 31.83°
Atoms (fractional coordinates):
Tb: 0.242 0.242 0.333
Tb: 0.758 0.758 0.667
Er: 0.043 0.043 0.255
Er: 0.154 0.154 0.811
Er: 0.342 0.342 0.877
Er: 0.422 0.422 0.398
Er: 0.578 0.578 0.602
Er: 0.658 0.658 0.123
Er: 0.846 0.846 0.189
Er: 0.957 0.957 0.745
Al: 0.500 0.500 0.000